Entry 1:
DFT (GGA-PBE) results for an optimized crystal structure of Sn2GeAs4Pb.

Lattice parameters (Å, degrees): 7.2109 6.3106 6.8192 66.49 53.37 60.14
Sites, in units of the cell vectors:
Sn: 0.0000 0.0000 0.5000
Sn: 0.5000 0.5000 0.0000
Ge: 0.2318 0.2318 0.7682
As: 0.0905 0.5391 0.4609
As: 0.3114 0.8354 0.6886
As: 0.5391 0.0905 0.9095
As: 0.8354 0.3114 0.1646
Pb: 0.7773 0.7773 0.2227

Computed properties:
DFT formation energy in eV per atom: 0.003
SG: Fmm2
E in eV per atom: -4.3632

Entry 2:
DFT (GGA-PBE) results for an optimized crystal structure of Ba3HgH.

Lattice parameters (Å, degrees): 4.6231 11.3829 7.9593 90.00 106.86 90.00
Sites, in units of the cell vectors:
Ba: 0.0577 0.2500 0.1156
Ba: 0.3584 0.0735 0.7164
Ba: 0.3584 0.4265 0.7164
Ba: 0.6416 0.5735 0.2836
Ba: 0.6416 0.9265 0.2836
Ba: 0.9423 0.7500 0.8844
Hg: 0.2565 0.7500 0.5137
Hg: 0.7435 0.2500 0.4863
H: 0.4722 0.2500 0.9445
H: 0.5278 0.7500 0.0555

Computed properties:
SG: P2_1/m
E in eV per atom: -2.2384
ΔE to the lowest computed polymorph in meV per atom: 0.0

Entry 3:
DFT (GGA-PBE) results for an optimized crystal structure of ScSbOs.

Lattice parameters (Å, degrees): 3.2214 3.9561 8.7788 90.00 90.00 90.00
Sites, in units of the cell vectors:
Sc: 0.0000 0.0000 0.0000
Sc: 0.5000 0.5000 0.5000
Sb: 0.0000 0.0000 0.3207
Sb: 0.5000 0.5000 0.8207
Os: 0.0000 0.0000 0.6608
Os: 0.5000 0.5000 0.1608

Computed properties:
Formation energy without anion corrections in eV/f.u.: -0.25
SG: Imm2
E in eV per atom: -7.3115

Entry 4:
DFT (GGA-PBE) results for an optimized crystal structure of BaSrCdPd.

Lattice parameters (Å, degrees): 4.7199 4.7412 12.1991 90.00 90.00 90.00
Sites, in units of the cell vectors:
Ba: 0.0000 0.0000 0.0000
Ba: 0.0000 0.5000 0.5000
Sr: 0.5000 0.0000 0.7158
Sr: 0.5000 0.5000 0.2158
Cd: 0.5000 0.0000 0.4120
Cd: 0.5000 0.5000 0.9120
Pd: 0.0000 0.0000 0.2833
Pd: 0.0000 0.5000 0.7833

Computed properties:
DFT formation energy in eV per atom: -0.433
SG: Amm2
E in eV per atom: -2.8610

Entry 5:
DFT (GGA-PBE) results for an optimized crystal structure of NaZnSbSe3.

Lattice parameters (Å, degrees): 8.9477 4.0643 9.3251 90.00 98.43 90.00
Sites, in units of the cell vectors:
Na: 0.1729 0.2500 0.2169
Na: 0.8271 0.7500 0.7831
Zn: 0.0891 0.2500 0.5964
Zn: 0.9109 0.7500 0.4036
Sb: 0.3477 0.7500 0.8572
Sb: 0.6523 0.2500 0.1428
Se: 0.1271 0.2500 0.8665
Se: 0.1958 0.7500 0.4892
Se: 0.4067 0.7500 0.1416
Se: 0.5933 0.2500 0.8584
Se: 0.8042 0.2500 0.5108
Se: 0.8729 0.7500 0.1335

Computed properties:
Formation energy without anion corrections in eV/f.u.: -3.74
SG: P2_1/m
E in eV per atom: -3.4841

Entry 6:
DFT (GGA-PBE) results for an optimized crystal structure of BaTlRh.

Lattice parameters (Å, degrees): 3.6416 3.6416 12.1823 90.00 90.00 90.00
Sites, in units of the cell vectors:
Ba: 0.0000 0.0000 0.0000
Ba: 0.5000 0.5000 0.5000
Tl: 0.0000 0.0000 0.2839
Tl: 0.5000 0.5000 0.7839
Rh: 0.0000 0.0000 0.6782
Rh: 0.5000 0.5000 0.1782

Computed properties:
DFT formation energy in eV per atom: -0.093
SG: I4mm
E in eV per atom: -3.9730

Entry 7:
DFT (GGA-PBE) results for an optimized crystal structure of Pr2PuRh9.

Lattice parameters (Å, degrees): 9.4212 9.4212 9.4212 32.70 32.70 32.70
Sites, in units of the cell vectors:
Pr: 0.1385 0.1385 0.1385
Pr: 0.8615 0.8615 0.8615
Pu: 0.0000 0.0000 0.0000
Rh: 0.0817 0.5807 0.5807
Rh: 0.3330 0.3330 0.3330
Rh: 0.4193 0.4193 0.9183
Rh: 0.4193 0.9183 0.4193
Rh: 0.5000 0.5000 0.5000
Rh: 0.5807 0.0817 0.5807
Rh: 0.5807 0.5807 0.0817
Rh: 0.6670 0.6670 0.6670
Rh: 0.9183 0.4193 0.4193

Computed properties:
DFT formation energy in eV per atom: -0.424
SG: R-3m
E in eV per atom: -7.9290

Entry 8:
DFT (GGA-PBE) results for an optimized crystal structure of Mg2ZnO3.

Lattice parameters (Å, degrees): 3.0314 3.0314 7.4099 90.00 90.00 120.00
Sites, in units of the cell vectors:
Mg: 0.3333 0.6667 0.1656
Mg: 0.6667 0.3333 0.8344
Zn: 0.0000 0.0000 0.5000
O: 0.0000 0.0000 0.0000
O: 0.3333 0.6667 0.6727
O: 0.6667 0.3333 0.3273

Computed properties:
Formation energy without anion corrections in eV/f.u.: -13.42
SG: P-3m1
E in eV per atom: -5.4589
ΔE to the lowest computed polymorph in meV per atom: 4.8

Entry 9:
DFT (GGA-PBE) results for an optimized crystal structure of BaMg2In.

Lattice parameters (Å, degrees): 8.7460 5.0528 6.8076 90.00 115.43 90.00
Sites, in units of the cell vectors:
Ba: 0.0000 0.0000 0.0000
Ba: 0.5000 0.5000 0.0000
Mg: 0.2002 0.0000 0.5996
Mg: 0.4809 0.0000 0.4420
Mg: 0.7002 0.5000 0.5996
Mg: 0.9809 0.5000 0.4420
In: 0.2944 0.5000 0.3823
In: 0.7944 0.0000 0.3823

Computed properties:
DFT formation energy in eV per atom: -0.156
SG: Cm
E in eV per atom: -2.1181